# Li2TlCr (GGA-PBE, optimized geometry)
data_Li2TlCr
_cell_length_a 3.0531
_cell_length_b 4.5523
_cell_length_c 5.6497
_cell_angle_alpha 90.00
_cell_angle_beta 103.54
_cell_angle_gamma 90.00
_symmetry_space_group_name_H-M 'P 1 m 1'
_symmetry_Int_Tables_number 6
loop_
_symmetry_equiv_pos_as_xyz
'x,y,z'
'x,-y,z'
loop_
_atom_site_label
_atom_site_fract_x
_atom_site_fract_y
_atom_site_fract_z
_atom_site_occupancy
Li1 0.0000 0.0000 0.0000 1
Li2 0.1659 0.5000 0.7571 1
Tl1 0.7464 0.5000 0.2492 1
Cr1 0.4379 0.0000 0.5049 1
# E = -3.691 eV per atom
# Formation energy from the elements = 101.7 kJ/mol of formula units
# Crystal system = monoclinic